# NaTcO3

Crystalline NaTcO3 at its relaxed geometry (PBE, OQMD).

Cell: 3.8313 3.8313 3.8534 Å, 90.00 90.00 90.00°
With the nearest neighbours (Å) after each atom.
Fractional coordinates of all 5 atoms:
Na1 0.0000 0.0000 0.0768  12 O 2.71-2.73
O1 0.5000 0.5000 0.0808  2 Tc 1.93
O2 0.5000 0.0000 0.5809  2 Tc 1.92
O3 0.0000 0.5000 0.5809  2 Tc 1.92
Tc1 0.5000 0.5000 0.5807  6 O 1.92-1.93

Values from the calculation:
Uncorrected energy, eV/atom: -6.8672
Space-group type: P4mm, No. 99